# 1
CuSbW2 after structural relaxation. Source: the Alexandria database, functional PBEsol.

Values from the calculation:
For the density of states at the Fermi level, the calculation gives 0.937 states/eV per atom. The total energy comes out at -34.03 eV per cell.

The structure in POSCAR format:
```
CuSbW2
1.0
3.8307 0.0000 0.0000
0.0000 3.8307 0.0000
0.0000 0.0000 4.3414
Cu Sb W
1 1 2
Direct
0.0000 0.0000 0.0000
0.5000 0.5000 0.0000
0.0000 0.5000 0.5000
0.5000 0.0000 0.5000
```

***

# 2
BeGeN2F after structural relaxation. Source: the Alexandria database, functional PBEsol.

Values from the calculation:
For the density of states at the Fermi level, the calculation gives 0.342 states/eV per atom. The total energy comes out at -25.76 eV per cell.

The structure in POSCAR format:
```
BeGeN2F
1.0
3.7273 0.0000 0.0000
0.0000 3.7273 0.0000
0.0000 0.0000 3.7226
Be Ge N F
1 1 2 1
Direct
0.0000 0.0000 0.0000
0.5000 0.5000 0.5000
0.0000 0.5000 0.5000
0.5000 0.0000 0.5000
0.5000 0.5000 0.0000
```

***

# 3
Al4Ag after structural relaxation. Source: the Alexandria database, functional PBEsol.

Values from the calculation:
The distance to the lowest polymorph of the same formula is 12 meV/atom. For the density of states at the Fermi level, the calculation gives 0.426 states/eV per atom. The total energy comes out at -39.57 eV per cell.

The structure in POSCAR format:
```
Al4Ag
1.0
2.8811 0.0000 0.0000
0.0000 2.8811 0.0000
0.0000 0.0000 19.5024
Al Ag
8 2
Direct
0.0000 0.0000 0.0988
0.0000 0.0000 0.3006
0.0000 0.0000 0.6994
0.0000 0.0000 0.9012
0.5000 0.5000 0.1994
0.5000 0.5000 0.4012
0.5000 0.5000 0.5988
0.5000 0.5000 0.8006
0.0000 0.0000 0.5000
0.5000 0.5000 0.0000
```

***

# 4
KDyO3 after structural relaxation. Source: the Alexandria database, functional PBEsol.

Values from the calculation:
For the density of states at the Fermi level, the calculation gives 0.775 states/eV per atom. The total energy comes out at -31.12 eV per cell.

The structure in POSCAR format:
```
KDyO3
1.0
4.4095 0.0000 0.0000
0.0000 4.4095 0.0000
0.0000 0.0000 4.4095
K Dy O
1 1 3
Direct
0.0000 0.0000 0.0000
0.5000 0.5000 0.5000
0.0000 0.5000 0.5000
0.5000 0.0000 0.5000
0.5000 0.5000 0.0000
```

***

# 5
BeBi2H2 after structural relaxation. Source: the Alexandria database, functional PBEsol.

Values from the calculation:
For the density of states at the Fermi level, the calculation gives 0.338 states/eV per atom. The total energy comes out at -33.70 eV per cell.

The structure in POSCAR format:
```
BeBi2H2
1.0
7.2845 0.0000 0.0000
0.0000 7.2845 0.0000
0.0000 0.0000 3.2821
Be Bi H
2 4 4
Direct
0.0000 0.0000 0.0000
0.5000 0.5000 0.0000
0.2457 0.2543 0.0000
0.2543 0.7543 0.0000
0.7457 0.2457 0.0000
0.7543 0.7457 0.0000
0.0383 0.4617 0.5000
0.4617 0.9617 0.5000
0.5383 0.0383 0.5000
0.9617 0.5383 0.5000
```

***

# 6
Al2FeRh after structural relaxation. Source: the Alexandria database, functional PBEsol.

Values from the calculation:
For the density of states at the Fermi level, the calculation gives 0.887 states/eV per atom. The total energy comes out at -80.44 eV per cell.

The structure in POSCAR format:
```
Al2FeRh
1.0
2.7526 0.0000 0.0000
-1.3763 2.3838 0.0000
0.0000 0.0000 24.1402
Al Fe Rh
6 3 3
Direct
0.0000 0.0000 0.2493
0.0000 0.0000 0.7507
0.3333 0.6667 0.4173
0.3333 0.6667 0.9160
0.6667 0.3333 0.0840
0.6667 0.3333 0.5827
0.0000 0.0000 0.5000
0.3333 0.6667 0.1667
0.6667 0.3333 0.8333
0.0000 0.0000 0.0000
0.3333 0.6667 0.6667
0.6667 0.3333 0.3333
```

***

# 7
BePt2 after structural relaxation. Source: the Alexandria database, functional PBEsol.

Values from the calculation:
For the density of states at the Fermi level, the calculation gives 0.456 states/eV per atom. The total energy comes out at -77.67 eV per cell.

The structure in POSCAR format:
```
BePt2
1.0
8.8054 0.0000 0.0000
0.0000 2.7256 0.0000
-2.9607 0.0000 6.3697
Be Pt
4 8
Direct
0.1801 0.0000 0.1074
0.3199 0.5000 0.8926
0.6801 0.5000 0.1074
0.8199 0.0000 0.8926
0.0237 0.5000 0.8173
0.1693 0.0000 0.5956
0.3307 0.5000 0.4044
0.4763 0.0000 0.1827
0.5237 0.0000 0.8173
0.6693 0.5000 0.5956
0.8307 0.0000 0.4044
0.9763 0.5000 0.1827
```

***

# 8
FeCuAu2S after structural relaxation. Source: the Alexandria database, functional PBEsol.

Values from the calculation:
For the density of states at the Fermi level, the calculation gives 0.853 states/eV per atom. The total energy comes out at -19.58 eV per cell.

The structure in POSCAR format:
```
FeCuAu2S
1.0
4.6943 0.0000 0.0000
0.0000 4.6943 0.0000
0.0000 0.0000 4.3682
Fe Cu Au S
1 1 2 1
Direct
0.0000 0.0000 0.0000
0.0000 0.0000 0.5000
0.0000 0.5000 0.0000
0.5000 0.0000 0.0000
0.5000 0.5000 0.5000
```

***

# 9
CdH8C2Br3N after structural relaxation. Source: the Alexandria database, functional PBEsol.

Values from the calculation:
For the density of states at the Fermi level, the calculation gives 0.000 states/eV per atom. The total energy comes out at -269.56 eV per cell.

The structure in POSCAR format:
```
CdH8C2Br3N
1.0
9.3461 0.0000 0.0000
0.0000 13.3472 0.0000
-1.3722 0.0000 6.8067
Cd H C Br N
4 32 8 12 4
Direct
0.2092 0.2479 0.4975
0.2092 0.2521 0.9975
0.7908 0.7479 0.0025
0.7908 0.7521 0.5025
0.1188 0.5449 0.8995
0.1188 0.9551 0.3995
0.1502 0.5592 0.5622
0.1502 0.9408 0.0622
0.1644 0.6698 0.8359
0.1644 0.8302 0.3359
0.2700 0.0220 0.1944
0.2700 0.4780 0.6944
0.3035 0.5899 0.9760
0.3035 0.9101 0.4760
0.3361 0.6886 0.6008
0.3361 0.8114 0.1008
0.3815 0.5784 0.4759
0.3815 0.9216 0.9759
0.4627 0.5990 0.7307
0.4627 0.9010 0.2307
0.5373 0.0990 0.7693
0.5373 0.4010 0.2693
0.6185 0.0784 0.0241
0.6185 0.4216 0.5241
0.6639 0.1886 0.8992
0.6639 0.3114 0.3992
0.6965 0.0899 0.5240
0.6965 0.4101 0.0240
0.7300 0.5220 0.3056
0.7300 0.9780 0.8056
0.8356 0.1698 0.6641
0.8356 0.3302 0.1641
0.8498 0.0592 0.9378
0.8498 0.4408 0.4378
0.8812 0.0449 0.6005
0.8812 0.4551 0.1005
0.2046 0.5924 0.8598
0.2046 0.9076 0.3598
0.3637 0.6086 0.6166
0.3637 0.8914 0.1166
0.6363 0.1086 0.8834
0.6363 0.3914 0.3834
0.7954 0.0924 0.6402
0.7954 0.4076 0.1402
0.0062 0.1591 0.1845
0.0062 0.3409 0.6845
0.2080 0.0931 0.7512
0.2080 0.4069 0.2512
0.4118 0.1612 0.3043
0.4118 0.3388 0.8043
0.5882 0.6612 0.1957
0.5882 0.8388 0.6957
0.7920 0.5931 0.7488
0.7920 0.9069 0.2488
0.9938 0.6591 0.3155
0.9938 0.8409 0.8155
0.2416 0.5541 0.6758
0.2416 0.9459 0.1758
0.7584 0.0541 0.8242
0.7584 0.4459 0.3242
```

***

# 10
La2CdRh after structural relaxation. Source: the Alexandria database, functional PBEsol.

Values from the calculation:
For the density of states at the Fermi level, the calculation gives 0.832 states/eV per atom. The total energy comes out at -43.47 eV per cell.

The structure in POSCAR format:
```
La2CdRh
1.0
3.9866 0.0000 0.0000
0.0000 4.6309 0.0000
0.0000 0.0000 11.3756
La Cd Rh
4 2 2
Direct
0.0000 0.0000 0.0000
0.0000 0.5000 0.5000
0.5000 0.0000 0.2990
0.5000 0.5000 0.7990
0.5000 0.0000 0.5963
0.5000 0.5000 0.0963
0.0000 0.0000 0.7744
0.0000 0.5000 0.2744
```

***

# 11
Ca2AlAu after structural relaxation. Source: the Alexandria database, functional PBEsol.

Values from the calculation:
For the density of states at the Fermi level, the calculation gives 0.506 states/eV per atom. The total energy comes out at -14.13 eV per cell.

The structure in POSCAR format:
```
Ca2AlAu
1.0
3.6308 0.0000 0.0000
0.0000 3.6308 0.0000
0.0000 0.0000 7.1943
Ca Al Au
2 1 1
Direct
0.0000 0.0000 0.2390
0.0000 0.0000 0.7610
0.5000 0.5000 0.5000
0.5000 0.5000 0.0000
```

***

# 12
LaZnMoIr2 after structural relaxation. Source: the Alexandria database, functional PBEsol.

Values from the calculation:
For the density of states at the Fermi level, the calculation gives 0.800 states/eV per atom. The total energy comes out at -27.53 eV per cell.

The structure in POSCAR format:
```
LaZnMoIr2
1.0
4.8435 0.0000 0.0000
0.0000 4.8435 0.0000
0.0000 0.0000 5.0799
La Zn Mo Ir
1 1 1 2
Direct
0.0000 0.0000 0.0000
0.0000 0.0000 0.5000
0.5000 0.5000 0.5000
0.0000 0.5000 0.0000
0.5000 0.0000 0.0000
```

***

# 13
SrLi2HS after structural relaxation. Source: the Alexandria database, functional PBEsol.

Values from the calculation:
For the density of states at the Fermi level, the calculation gives 0.459 states/eV per atom. The total energy comes out at -15.40 eV per cell.

The structure in POSCAR format:
```
SrLi2HS
1.0
4.2393 0.0000 0.0000
0.0000 4.2393 0.0000
0.0000 0.0000 6.8639
Sr Li H S
1 2 1 1
Direct
0.0000 0.0000 0.0000
0.0000 0.5000 0.5000
0.5000 0.0000 0.5000
0.5000 0.5000 0.0000
0.5000 0.5000 0.5000
```

***

# 14
PtSe3S after structural relaxation. Source: the Alexandria database, functional PBEsol.

Values from the calculation:
For the density of states at the Fermi level, the calculation gives 1.269 states/eV per atom. The total energy comes out at -19.04 eV per cell.

The structure in POSCAR format:
```
PtSe3S
1.0
4.8529 0.0000 0.0000
0.0000 4.8529 0.0000
0.0000 0.0000 4.8529
Pt Se S
1 3 1
Direct
0.0000 0.0000 0.0000
0.0000 0.0000 0.5000
0.0000 0.5000 0.0000
0.5000 0.0000 0.0000
0.5000 0.5000 0.5000
```

***

# 15
As2RuSe after structural relaxation. Source: the Alexandria database, functional PBEsol.

Values from the calculation:
For the density of states at the Fermi level, the calculation gives 0.599 states/eV per atom. The total energy comes out at -23.68 eV per cell.

The structure in POSCAR format:
```
As2RuSe
1.0
2.9074 0.0000 0.0000
0.0000 2.9074 0.0000
0.0000 0.0000 8.2473
As Ru Se
2 1 1
Direct
0.0000 0.0000 0.0000
0.5000 0.5000 0.2867
0.0000 0.0000 0.4894
0.5000 0.5000 0.6768
```

***

# 16
AgAsSe2Br after structural relaxation. Source: the Alexandria database, functional PBEsol.

Values from the calculation:
For the density of states at the Fermi level, the calculation gives 0.533 states/eV per atom. The total energy comes out at -15.95 eV per cell.

The structure in POSCAR format:
```
AgAsSe2Br
1.0
4.9900 0.0000 0.0000
0.0000 4.9900 0.0000
0.0000 0.0000 5.1431
Ag As Se Br
1 1 2 1
Direct
0.0000 0.0000 0.0000
0.5000 0.5000 0.5000
0.0000 0.5000 0.5000
0.5000 0.0000 0.5000
0.5000 0.5000 0.0000
```

***

# 17
LaFe3Se after structural relaxation. Source: the Alexandria database, functional PBEsol.

Values from the calculation:
The distance to the lowest polymorph of the same formula is 1372 meV/atom. For the density of states at the Fermi level, the calculation gives 1.223 states/eV per atom. The total energy comes out at -27.78 eV per cell.

The structure in POSCAR format:
```
LaFe3Se
1.0
4.5480 0.0000 0.0000
0.0000 4.5480 0.0000
0.0000 0.0000 4.5480
La Fe Se
1 3 1
Direct
0.0000 0.0000 0.0000
0.0000 0.0000 0.5000
0.0000 0.5000 0.0000
0.5000 0.0000 0.0000
0.5000 0.5000 0.5000
```

***

# 18
SiHg2Ir after structural relaxation. Source: the Alexandria database, functional PBEsol.

Values from the calculation:
For the density of states at the Fermi level, the calculation gives 0.280 states/eV per atom. The total energy comes out at -32.07 eV per cell.

The structure in POSCAR format:
```
SiHg2Ir
1.0
2.9068 0.0000 0.0000
0.0000 4.6811 0.0000
0.0000 0.0000 11.3724
Si Hg Ir
2 4 2
Direct
0.0000 0.0000 0.0000
0.5000 0.5000 0.5000
0.0000 0.0000 0.3875
0.0000 0.5000 0.1886
0.5000 0.0000 0.6886
0.5000 0.5000 0.8875
0.0000 0.5000 0.6627
0.5000 0.0000 0.1627
```

***

# 19
CuRePb after structural relaxation. Source: the Alexandria database, functional PBEsol.

Values from the calculation:
The distance to the lowest polymorph of the same formula is 0 meV/atom. For the density of states at the Fermi level, the calculation gives 0.943 states/eV per atom. The total energy comes out at -75.76 eV per cell.

The structure in POSCAR format:
```
CuRePb
1.0
4.0550 0.0000 0.0000
0.0000 4.1103 0.0000
0.0000 0.0000 13.0568
Cu Re Pb
4 4 4
Direct
0.0000 0.0000 0.0000
0.0000 0.5000 0.5000
0.5000 0.0000 0.5000
0.5000 0.5000 0.0000
0.0000 0.0000 0.6187
0.0000 0.5000 0.1187
0.5000 0.0000 0.1187
0.5000 0.5000 0.6187
0.0000 0.0000 0.2979
0.0000 0.5000 0.7979
0.5000 0.0000 0.7979
0.5000 0.5000 0.2979
```

***

# 20
MgSbS2 after structural relaxation. Source: the Alexandria database, functional PBEsol.

Values from the calculation:
The distance to the lowest polymorph of the same formula is 187 meV/atom. For the density of states at the Fermi level, the calculation gives 0.352 states/eV per atom. The total energy comes out at -65.85 eV per cell.

The structure in POSCAR format:
```
MgSbS2
1.0
6.6868 0.0000 0.0000
0.0000 6.6868 0.0000
0.0000 0.0000 6.6868
Mg Sb S
4 4 8
Direct
0.0000 0.0000 0.0000
0.0000 0.5000 0.5000
0.5000 0.0000 0.5000
0.5000 0.5000 0.0000
0.0000 0.0000 0.5000
0.0000 0.5000 0.0000
0.5000 0.0000 0.0000
0.5000 0.5000 0.5000
0.2500 0.2500 0.2500
0.2500 0.2500 0.7500
0.2500 0.7500 0.2500
0.2500 0.7500 0.7500
0.7500 0.2500 0.2500
0.7500 0.2500 0.7500
0.7500 0.7500 0.2500
0.7500 0.7500 0.7500
```